[1]
## TeMoIr2Se (PBE)

Data for a geometry-optimized TeMoIr2Se structure.

abc: 4.857 4.715 4.857
angles: 90.00 90.00 90.00
Sites, in units of the cell vectors:
Mo: 0.000 0.000 0.000
Ir: 0.000 0.000 0.500
Ir: 0.500 0.000 0.000
Te: 0.500 0.500 0.500
Se: 0.000 0.500 0.000

Summary:
- calculated volume (Å³ per atom) = 22.245
- raw formation energy (eV per atom) = 1.122
- final energy (eV per atom) = -5.91
- magnetization (μB per cell) = 0.000

[2]
## Tl2MoIrSe (PBE)

Data for a geometry-optimized Tl2MoIrSe structure.

abc: 5.257 4.912 5.257
angles: 90.00 90.00 90.00
Sites, in units of the cell vectors:
Tl: 0.000 0.000 0.500
Tl: 0.500 0.000 0.000
Ir: 0.000 0.000 0.000
Mo: 0.000 0.500 0.000
Se: 0.500 0.500 0.500

Summary:
- calculated volume (Å³ per atom) = 27.145
- raw formation energy (eV per atom) = 0.688
- final energy (eV per atom) = -4.89
- magnetization (μB per cell) = 2.683

[3]
## Zr2MoIrSe (PBE)

Data for a geometry-optimized Zr2MoIrSe structure.

abc: 5.095 4.596 5.095
angles: 90.00 90.00 90.00
Sites, in units of the cell vectors:
Mo: 0.500 0.500 0.500
Ir: 0.000 0.000 0.000
Se: 0.000 0.500 0.000
Zr: 0.000 0.000 0.500
Zr: 0.500 0.000 0.000

Summary:
- calculated volume (Å³ per atom) = 23.857
- raw formation energy (eV per atom) = 0.894
- final energy (eV per atom) = -7.16
- magnetization (μB per cell) = 1.248

[4]
## SiMoIr2 (PBE)

Data for a geometry-optimized SiMoIr2 structure.

abc: 4.656 4.656 4.737
angles: 82.71 82.71 35.08
Sites, in units of the cell vectors:
Ir: 0.998 0.998 0.048
Ir: 0.748 0.748 0.727
Mo: 0.493 0.493 0.532
Si: 0.260 0.260 0.192

Summary:
- calculated volume (Å³ per atom) = 14.619
- raw formation energy (eV per atom) = -0.231
- final energy (eV per atom) = -8.72
- magnetization (μB per cell) = 0.000

[5]
## SiMoIr2 (PBE)

Data for a geometry-optimized SiMoIr2 structure.

abc: 3.805 3.900 3.900
angles: 90.00 90.00 90.00
Sites, in units of the cell vectors:
Ir: 0.000 0.000 0.000
Ir: 0.000 0.500 0.500
Mo: 0.500 0.500 0.000
Si: 0.500 0.000 0.500

Summary:
- calculated volume (Å³ per atom) = 14.470
- raw formation energy (eV per atom) = -0.098
- final energy (eV per atom) = -8.59
- magnetization (μB per cell) = 0.459

[6]
## SiMo2Ir (PBE)

Data for a geometry-optimized SiMo2Ir structure.

abc: 2.864 2.864 7.057
angles: 90.00 90.00 90.00
Sites, in units of the cell vectors:
Ir: 0.500 0.500 0.750
Mo: 0.000 0.000 0.019
Mo: 0.000 0.000 0.481
Si: 0.500 0.500 0.250

Summary:
- calculated volume (Å³ per atom) = 14.476
- raw formation energy (eV per atom) = -0.245
- final energy (eV per atom) = -9.23
- magnetization (μB per cell) = 0.000